Computed, not measured: a geometry-optimized Sr3GaBr7 structure at the PBE level of DFT.

a = 9.1313 Å, b = 9.1313 Å, c = 10.1580 Å
α = 90.00°, β = 90.00°, γ = 107.50°
Last column: nearest neighbours and their distance in Å.
Atoms (fractional coordinates):
Sr (0.0012, 0.0012, 0.0000)  8 Br 3.16-3.36
Sr (0.0389, 0.5070, 0.2506)  7 Br 3.05-3.25
Sr (0.4930, 0.9611, 0.2494)  7 Br 3.05-3.25
Sr (0.5070, 0.0389, 0.7494)  7 Br 3.05-3.25
Sr (0.9611, 0.4930, 0.7506)  7 Br 3.05-3.25
Sr (0.9988, 0.9988, 0.5000)  8 Br 3.16-3.36
Ga (0.4980, 0.4980, 0.5000)  6 Br 3.02-3.21
Ga (0.5020, 0.5020, 0.0000)  6 Br 3.02-3.21
Br (0.1271, 0.8729, 0.2500)  4 Sr 3.16-3.19
Br (0.1344, 0.3830, 0.5219)  3 Sr 3.14-3.36, 1 Ga 3.17
Br (0.1339, 0.3828, 0.9792)  3 Sr 3.14-3.33, 1 Ga 3.21
Br (0.1412, 0.8588, 0.7500)  4 Sr 3.25-3.28
Br (0.3828, 0.1339, 0.0208)  3 Sr 3.14-3.33, 1 Ga 3.21
Br (0.3830, 0.1344, 0.4781)  3 Sr 3.14-3.36, 1 Ga 3.17
Br (0.3895, 0.6105, 0.2500)  2 Ga 3.02, 2 Sr 3.05
Br (0.6105, 0.3895, 0.7500)  2 Ga 3.02, 2 Sr 3.05
Br (0.6172, 0.8661, 0.5208)  3 Sr 3.14-3.33, 1 Ga 3.21
Br (0.6170, 0.8656, 0.9781)  3 Sr 3.14-3.36, 1 Ga 3.17
Br (0.8588, 0.1412, 0.2500)  4 Sr 3.25-3.28
Br (0.8656, 0.6170, 0.0219)  3 Sr 3.14-3.36, 1 Ga 3.17
Br (0.8661, 0.6172, 0.4792)  3 Sr 3.14-3.33, 1 Ga 3.21
Br (0.8729, 0.1271, 0.7500)  4 Sr 3.16-3.19

* space group: C222_1, No. 20
* raw formation energy: -1795 meV per atom
* total magnetic moment: 0.00 μB per formula unit
* calculated total energy: -0.1320 hartree per atom



Computed, not measured: a geometry-optimized Sr5GaBr5 structure at the PBE level of DFT.

a = 8.2300 Å, b = 8.2300 Å, c = 9.2426 Å
α = 106.74°, β = 106.74°, γ = 45.03°
Last column: nearest neighbours and their distance in Å.
Atoms (fractional coordinates):
Sr (0.0000, 0.0000, 0.0000)  2 Ga 3.15, 2 Br 3.52
Sr (0.3512, 0.3512, 0.6893)  1 Ga 3.05, 5 Br 3.24-3.29
Sr (0.3542, 0.3542, 0.1637)  1 Ga 3.05, 5 Br 3.20-3.27
Sr (0.6458, 0.6458, 0.8363)  1 Ga 3.05, 5 Br 3.20-3.27
Sr (0.6488, 0.6488, 0.3107)  1 Ga 3.05, 5 Br 3.24-3.29
Ga (0.5000, 0.5000, 0.0000)  6 Sr 3.05-3.15
Br (0.1834, 0.1834, 0.8435)  5 Sr 3.20-3.52
Br (0.2013, 0.2013, 0.3465)  4 Sr 3.24-3.28
Br (0.5000, 0.5000, 0.5000)  4 Sr 3.21-3.26
Br (0.7987, 0.7987, 0.6535)  4 Sr 3.24-3.28
Br (0.8166, 0.8166, 0.1565)  5 Sr 3.20-3.52

* space group: C2/m, No. 12
* raw formation energy: -1519 meV per atom
* total magnetic moment: 0.00 μB per formula unit
* calculated total energy: -0.1220 hartree per atom